Entry 1:
CrCu2Cl: optimized geometry, PBEsol.

Calculated values
Distance to the lowest polymorph of the same formula, meV/atom: 88
Calculated total energy, eV per atom: -4.93
Total moment, μB per cell: 4.068
Formation energy without anion corrections, meV/atom: 302

Cell lengths 3.0737, 3.0737, 6.2155 Å; angles 90.00, 90.00, 90.00 degrees
Last column: magnetic moment on the atom in μB.
Element x y z (fractional)
Cu  0.5000  0.5000  0.1867  0.02
Cu  0.0000  0.0000  0.0139  0.09
Cl  0.0000  0.0000  0.5275  0.03
Cr  0.5000  0.5000  0.7719  3.57

---

Entry 2:
Be4AsRh: optimized geometry, PBEsol.

Calculated values
Calculated total energy, eV per atom: -5.04
Total moment, μB per cell: 0.000

Cell lengths 4.4109, 4.4109, 4.4109 Å; angles 60.00, 60.00, 60.00 degrees
Element x y z (fractional)
As  0.0000  0.0000  0.0000
Be  0.3775  0.3775  0.3775
Be  0.8674  0.3775  0.3775
Be  0.3775  0.3775  0.8674
Be  0.3775  0.8674  0.3775
Rh  0.7500  0.7500  0.7500

---

Entry 3:
HOsSe2N: optimized geometry, PBEsol.

Calculated values
Calculated total energy, eV per atom: -5.15
Total moment, μB per cell: 0.252

Cell lengths 2.7600, 4.6114, 4.6114 Å; angles 90.00, 90.00, 90.00 degrees
Last column: magnetic moment on the atom in μB.
Element x y z (fractional)
Os  0.5000  0.5000  0.5000  0.06
H  0.0000  0.0000  0.0000  0.00
N  0.5000  0.0000  0.0000  0.14
Se  0.0000  0.5000  0.0000  0.00
Se  0.0000  0.0000  0.5000  0.00

---

Entry 4:
LiSe2Cl: optimized geometry, PBEsol.

Calculated values
Distance to the lowest polymorph of the same formula, meV/atom: 678
Calculated total energy, eV per atom: -3.00
Total moment, μB per cell: 0.000
Formation energy without anion corrections, meV/atom: -77

Cell lengths 2.9196, 5.0519, 5.0519 Å; angles 90.00, 90.00, 90.00 degrees
Element x y z (fractional)
Li  0.5000  0.0000  0.0000
Cl  0.5000  0.5000  0.5000
Se  0.0000  0.0000  0.5000
Se  0.0000  0.5000  0.0000

---

Entry 5:
MgIn3Te: optimized geometry, PBEsol.

Calculated values
Calculated total energy, eV per atom: -2.28
Total moment, μB per cell: 0.000
Formation energy without anion corrections, meV/atom: 558

Cell lengths 5.6810, 5.6810, 5.6810 Å; angles 90.00, 90.00, 90.00 degrees
Element x y z (fractional)
In  0.0000  0.0000  0.5000
In  0.0000  0.5000  0.0000
In  0.5000  0.0000  0.0000
Te  0.0000  0.0000  0.0000
Mg  0.5000  0.5000  0.5000

---

Entry 6:
Rb2NaSbBr6: optimized geometry, PBEsol.

Calculated values
Calculated total energy, eV per atom: -3.16
Total moment, μB per cell: 0.000
Formation energy without anion corrections, meV/atom: -1240

Cell lengths 7.9249, 7.9249, 7.9249 Å; angles 60.00, 60.00, 60.00 degrees
Element x y z (fractional)
Br  0.7531  0.7531  0.2469
Br  0.7531  0.2469  0.2469
Br  0.2469  0.2469  0.7531
Br  0.2469  0.7531  0.2469
Br  0.2469  0.7531  0.7531
Br  0.7531  0.2469  0.7531
Na  0.5000  0.5000  0.5000
Rb  0.7500  0.7500  0.7500
Rb  0.2500  0.2500  0.2500
Sb  0.0000  0.0000  0.0000

---

Entry 7:
Y2HgSe: optimized geometry, PBEsol.

Calculated values
Distance to the lowest polymorph of the same formula, meV/atom: 244
Calculated total energy, eV per atom: -5.47
Total moment, μB per cell: 0.001
Formation energy without anion corrections, meV/atom: -959

Cell lengths 3.5029, 5.1584, 5.1584 Å; angles 97.58, 90.02, 90.02 degrees
Element x y z (fractional)
Hg  0.5000  0.5000  0.5000
Y  0.0000  0.5000  0.0000
Y  0.0000  0.0000  0.5000
Se  0.5000  0.0000  0.0000

---

Entry 8:
ScHgPb2: optimized geometry, PBEsol.

Calculated values
Calculated total energy, eV per atom: -4.01
Total moment, μB per cell: 0.000

Cell lengths 3.5024, 5.2061, 6.2479 Å; angles 114.62, 106.28, 90.00 degrees
Element x y z (fractional)
Hg  0.7655  0.2655  0.5309
Sc  0.4861  0.4861  0.9722
Pb  0.0122  0.0122  0.0245
Pb  0.2362  0.7362  0.4724

---

Entry 9:
Ba2CeBiO6: optimized geometry, PBEsol.

Calculated values
Calculated total energy, eV per atom: -7.13
Total moment, μB per cell: 0.000
Formation energy without anion corrections, meV/atom: -2461

Cell lengths 6.2209, 6.2209, 6.2209 Å; angles 60.00, 60.00, 60.00 degrees
Element x y z (fractional)
O  0.2508  0.7492  0.7492
O  0.2508  0.7492  0.2508
O  0.7492  0.7492  0.2508
O  0.7492  0.2508  0.2508
O  0.2508  0.2508  0.7492
O  0.7492  0.2508  0.7492
Ba  0.7500  0.7500  0.7500
Ba  0.2500  0.2500  0.2500
Bi  0.0000  0.0000  0.0000
Ce  0.5000  0.5000  0.5000

---

Entry 10:
SrZn3In: optimized geometry, PBEsol.

Calculated values
Calculated total energy, eV per atom: -1.70
Total moment, μB per cell: 0.000

Cell lengths 5.0824, 5.0824, 5.0824 Å; angles 90.00, 90.00, 90.00 degrees
Element x y z (fractional)
Sr  0.5000  0.5000  0.5000
Zn  0.0000  0.5000  0.0000
Zn  0.0000  0.0000  0.5000
Zn  0.5000  0.0000  0.0000
In  0.0000  0.0000  0.0000

---

Entry 11:
KTlSb2: optimized geometry, PBEsol.

Calculated values
Distance to the lowest polymorph of the same formula, meV/atom: 5
Calculated total energy, eV per atom: -3.37
Total moment, μB per cell: 0.000
Formation energy without anion corrections, meV/atom: -153

Cell lengths 4.0964, 4.0964, 7.5545 Å; angles 90.00, 90.00, 90.00 degrees
Element x y z (fractional)
K  0.5000  0.5000  0.7531
Tl  0.0000  0.0000  0.4600
Sb  0.5000  0.5000  0.2206
Sb  0.0000  0.0000  0.0664

---

Entry 12:
LaYMg2: optimized geometry, PBEsol.

Calculated values
Calculated total energy, eV per atom: -3.94
Total moment, μB per cell: 0.000

Cell lengths 3.7274, 5.4817, 6.3946 Å; angles 115.38, 106.94, 90.00 degrees
Element x y z (fractional)
Mg  0.0212  0.0212  0.0424
Mg  0.7330  0.2330  0.4661
La  0.2570  0.7570  0.5140
Y  0.4888  0.4888  0.9776

---

Entry 13:
Ca2Ga2Ag: optimized geometry, PBEsol.

Calculated values
Distance to the lowest polymorph of the same formula, meV/atom: 191
Calculated total energy, eV per atom: -3.05
Total moment, μB per cell: 0.000

Cell lengths 3.7023, 3.7023, 9.2478 Å; angles 101.55, 101.55, 90.00 degrees
Element x y z (fractional)
Ag  0.0000  0.0000  0.0000
Ca  0.3984  0.3984  0.7968
Ca  0.6016  0.6016  0.2032
Ga  0.2500  0.7500  0.5000
Ga  0.7500  0.2500  0.5000

---

Entry 14:
Tl2GaSbN: optimized geometry, PBEsol.

Calculated values
Calculated total energy, eV per atom: -3.74
Total moment, μB per cell: 0.000
Formation energy without anion corrections, meV/atom: 594

Cell lengths 4.1390, 5.4736, 5.4736 Å; angles 90.00, 90.00, 90.00 degrees
Element x y z (fractional)
N  0.0000  0.0000  0.0000
Ga  0.5000  0.5000  0.5000
Tl  0.0000  0.0000  0.5000
Tl  0.0000  0.5000  0.0000
Sb  0.5000  0.0000  0.0000

---

Entry 15:
LaHgS2Cl: optimized geometry, PBEsol.

Calculated values
Distance to the lowest polymorph of the same formula, meV/atom: 0
Calculated total energy, eV per atom: -4.04
Total moment, μB per cell: 0.246
Formation energy without anion corrections, meV/atom: -705

Cell lengths 4.9858, 4.9858, 4.9967 Å; angles 90.00, 90.00, 90.00 degrees
Last column: magnetic moment on the atom in μB.
Element x y z (fractional)
Cl  0.0000  0.0000  0.5000  0.00
S  0.5000  0.0000  0.0000  -0.01
S  0.0000  0.5000  0.0000  -0.01
Hg  0.0000  0.0000  0.0000  0.00
La  0.5000  0.5000  0.5000  0.24

---

Entry 16:
K3As2: optimized geometry, PBEsol.

Calculated values
Calculated total energy, eV per atom: -2.73
Total moment, μB per cell: 2.828

Cell lengths 5.5351, 5.5351, 6.7404 Å; angles 90.00, 90.00, 120.00 degrees
Last column: magnetic moment on the atom in μB.
Element x y z (fractional)
K  0.0000  0.0000  0.0000  0.02
K  0.3333  0.6667  0.3300  0.03
K  0.6667  0.3333  0.6700  0.03
As  0.3333  0.6667  0.8451  0.54
As  0.6667  0.3333  0.1549  0.54

---

Entry 17:
Cr2TcPt: optimized geometry, PBEsol.

Calculated values
Calculated total energy, eV per atom: -9.71
Total moment, μB per cell: 0.000

Cell lengths 3.7611, 3.7611, 4.5121 Å; angles 114.63, 114.63, 90.00 degrees
Element x y z (fractional)
Cr  0.7500  0.2500  0.5000
Cr  0.2500  0.7500  0.5000
Tc  0.5000  0.5000  0.0000
Pt  0.0000  0.0000  0.0000

---

Entry 18:
Bi2Pd3S2: optimized geometry, PBEsol.

Calculated values
Distance to the lowest polymorph of the same formula, meV/atom: 61
Calculated total energy, eV per atom: -5.38
Total moment, μB per cell: 0.000
Formation energy without anion corrections, meV/atom: -347

Cell lengths 5.6582, 5.6582, 5.6582 Å; angles 64.52, 64.52, 64.52 degrees
Element x y z (fractional)
S  0.7176  0.7176  0.7176
S  0.2824  0.2824  0.2824
Pd  0.0000  0.0000  0.5000
Pd  0.5000  0.0000  0.0000
Pd  0.0000  0.5000  0.0000
Bi  0.5000  0.5000  0.5000
Bi  0.0000  0.0000  0.0000

---

Entry 19:
BaSrZn4: optimized geometry, PBEsol.

Calculated values
Calculated total energy, eV per atom: -1.83
Total moment, μB per cell: 0.000

Cell lengths 5.7823, 5.7823, 5.7823 Å; angles 60.00, 60.00, 60.00 degrees
Element x y z (fractional)
Ba  0.7500  0.7500  0.7500
Zn  0.3746  0.3746  0.8763
Zn  0.3746  0.3746  0.3746
Zn  0.3746  0.8763  0.3746
Zn  0.8763  0.3746  0.3746
Sr  0.0000  0.0000  0.0000

---

Entry 20:
In2CuIr: optimized geometry, PBEsol.

Calculated values
Calculated total energy, eV per atom: -5.03
Total moment, μB per cell: 0.000

Cell lengths 3.0069, 4.6527, 5.2035 Å; angles 105.95, 106.79, 90.00 degrees
Element x y z (fractional)
Ir  0.5182  0.4604  0.0365
In  0.9842  0.9417  0.9685
In  0.7686  0.3123  0.5373
Cu  0.2289  0.7855  0.4578